Below is Tl2Ge2S5 after structural relaxation, with properties calculated at the PBE level.

Computed properties:
Offset from the most stable computed form ... 0 meV per atom
Crystal system ... monoclinic
Density ... 4.6 Mg/m³

Unit cell a=15.420 b=15.420 c=9.008 alpha=90.00 beta=103.83 gamma=90.00
Space group C2/c (No. 15)
Unique sites:
Tl 0.134 0.072 0.102 x8
Tl 0.171 0.376 0.379 x8
Ge 0.068 0.201 0.610 x8
Ge 0.102 0.369 0.900 x8
S 0.000 0.113 0.750 x4
S 0.000 0.456 0.750 x4
S 0.038 0.282 0.048 x8
S 0.127 0.118 0.469 x8
S 0.174 0.286 0.757 x8
S 0.203 0.448 0.046 x8

=====

Below is K2GaF after structural relaxation, with properties calculated at the PBE level.

Computed properties:
Offset from the most stable computed form ... 399 meV per atom
Crystal system ... cubic
Density ... 2.2 Mg/m³

Unit cell a=7.903 b=7.903 c=7.903 alpha=90.00 beta=90.00 gamma=90.00
Space group Fm-3m (No. 225)
Unique sites:
K 0.250 0.250 0.250 x8
Ga 0.000 0.000 0.000 x4
F 0.000 0.000 0.500 x4

=====

Below is SmTmGaGe after structural relaxation, with properties calculated at the PBE level.

Computed properties:
Offset from the most stable computed form ... 205 meV per atom
Crystal system ... cubic
Density ... 8.3 Mg/m³

Unit cell a=7.183 b=7.183 c=7.183 alpha=90.00 beta=90.00 gamma=90.00
Space group F-43m (No. 216)
Unique sites:
Sm 0.000 0.000 0.000 x4
Tm 0.000 0.000 0.500 x4
Ga 0.250 0.250 0.750 x4
Ge 0.250 0.250 0.250 x4

=====

Below is LiPrNd2Hg4 after structural relaxation, with properties calculated at the PBE level.

Computed properties:
Crystal system ... trigonal
Density ... 9.6 Mg/m³
Final energy ... -2.623 eV/atom

Unit cell a=5.2655 b=5.2655 c=26.7314 alpha=90.00 beta=90.00 gamma=120.00
Space group R-3m (No. 166, hexagonal axes)
Unique sites:
Li 0.0000 0.0000 0.0000 x3
Pr 0.0000 0.0000 0.5000 x3
Nd 0.0000 0.0000 0.2563 x6
Hg 0.0000 0.0000 0.1207 x6
Hg 0.0000 0.0000 0.3732 x6

=====

Below is La12Tl3Pd after structural relaxation, with properties calculated at the PBE level.

Computed properties:
Crystal system ... tetragonal
Density ... 7.8 Mg/m³
Final energy ... -4.636 eV/atom

Unit cell a=5.776 b=5.776 c=15.218 alpha=90.00 beta=90.00 gamma=90.00
Space group P4/mmm (No. 123)
Unique sites:
La 0.000 0.000 0.000 x1
La 0.000 0.000 0.242 x2
La 0.000 0.000 0.500 x1
La 0.000 0.500 0.111 x4
La 0.000 0.500 0.373 x4
Tl 0.500 0.500 0.245 x2
Tl 0.500 0.500 0.500 x1
Pd 0.500 0.500 0.000 x1

=====

Below is ZnCuRh2 after structural relaxation, with properties calculated at the PBE level.

Computed properties:
Crystal system ... trigonal
Density ... 10.1 Mg/m³
Final energy ... -5.101 eV/atom

Unit cell a=2.7448 b=2.7448 c=25.3549 alpha=90.00 beta=90.00 gamma=120.00
Space group R-3m (No. 166, hexagonal axes)
Unique sites:
Zn 0.0000 0.0000 0.0000 x3
Cu 0.0000 0.0000 0.5000 x3
Rh 0.0000 0.0000 0.2501 x6

=====

Below is Tc2SnB after structural relaxation, with properties calculated at the PBE level.

Computed properties:
Offset from the most stable computed form ... 9 meV per atom
Crystal system ... tetragonal
Density ... 8.0 Mg/m³

Unit cell a=4.035 b=4.035 c=16.520 alpha=90.00 beta=90.00 gamma=90.00
Space group I-42d (No. 122)
Unique sites:
Tc 0.152 0.250 0.125 x8
Sn 0.000 0.000 0.500 x4
B 0.000 0.000 0.000 x4

=====

Below is Ti2AlAu2 after structural relaxation, with properties calculated at the PBE level.

Computed properties:
Offset from the most stable computed form ... 74 meV per atom
Crystal system ... orthorhombic
Density ... 9.5 Mg/m³

Unit cell a=3.017 b=15.768 c=3.816 alpha=90.00 beta=90.00 gamma=90.00
Space group Cmmm (No. 65)
Unique sites:
Ti 0.000 0.088 0.000 x4
Al 0.000 0.500 0.500 x2
Au 0.000 0.325 0.500 x4

=====

Below is RbHo2MgTe4 after structural relaxation, with properties calculated at the PBE level.

Computed properties:
Crystal system ... orthorhombic
Density ... 5.8 Mg/m³
Final energy ... -4.189 eV/atom

Unit cell a=4.471 b=15.403 c=15.766 alpha=90.00 beta=90.00 gamma=90.00
Space group Cmcm (No. 63)
Unique sites:
Rb 0.000 0.120 0.250 x4
Ho 0.000 0.376 0.055 x8
Mg 0.000 0.163 0.750 x4
Te 0.000 0.000 0.000 x4
Te 0.000 0.262 0.605 x8
Te 0.000 0.441 0.250 x4

=====

Below is CoSiPt2 after structural relaxation, with properties calculated at the PBE level.

Computed properties:
Crystal system ... monoclinic
Density ... 14.6 Mg/m³
Final energy ... -6.505 eV/atom

Unit cell a=9.334 b=2.764 c=4.507 alpha=90.00 beta=110.75 gamma=90.00
Space group Cm (No. 8)
Unique sites:
Co 0.000 0.000 0.000 x2
Si 0.199 0.500 0.300 x2
Pt 0.231 0.000 0.795 x2
Pt 0.436 0.000 0.450 x2

=====

Below is Rb2NbBr6Cl after structural relaxation, with properties calculated at the PBE level.

Computed properties:
Offset from the most stable computed form ... 0 meV per atom
Crystal system ... triclinic
Density ... 3.0 Mg/m³

Unit cell a=6.257 b=7.771 c=8.905 alpha=98.46 beta=95.70 gamma=90.87
Space group P1 (No. 1)
Unique sites:
Rb 0.000 0.000 0.000 x1
Rb 0.420 0.186 0.616 x1
Nb 0.294 0.550 0.200 x1
Br 0.015 0.524 0.970 x1
Br 0.075 0.331 0.315 x1
Br 0.098 0.797 0.339 x1
Br 0.490 0.293 0.054 x1
Br 0.510 0.767 0.079 x1
Br 0.580 0.567 0.422 x1
Cl 0.924 0.102 0.677 x1

=====

Below is CsLiScBr5 after structural relaxation, with properties calculated at the PBE level.

Computed properties:
Crystal system ... monoclinic
Density ... 3.4 Mg/m³
Final energy ... -3.866 eV/atom

Unit cell a=9.490 b=12.770 c=10.330 alpha=90.00 beta=112.88 gamma=90.00
Space group C2/c (No. 15)
Unique sites:
Cs 0.000 0.160 0.250 x4
Li 0.000 0.195 0.750 x4
Sc 0.000 0.500 0.000 x4
Br 0.000 0.441 0.250 x4
Br 0.093 0.307 0.594 x8
Br 0.212 0.068 0.921 x8

=====

Below is BaCd2W after structural relaxation, with properties calculated at the PBE level.

Computed properties:
Offset from the most stable computed form ... 143 meV per atom
Crystal system ... trigonal
Density ... 9.7 Mg/m³

Unit cell a=3.1133 b=3.1133 c=33.3272 alpha=90.00 beta=90.00 gamma=120.00
Space group R-3m (No. 166, hexagonal axes)
Unique sites:
Ba 0.0000 0.0000 0.0000 x3
Cd 0.0000 0.0000 0.2385 x6
W 0.0000 0.0000 0.5000 x3

=====

Below is Ba2ZnGa after structural relaxation, with properties calculated at the PBE level.

Computed properties:
Crystal system ... monoclinic
Density ... 4.8 Mg/m³
Final energy ... -2.308 eV/atom

Unit cell a=6.231 b=4.672 c=9.818 alpha=90.00 beta=99.44 gamma=90.00
Space group P2_1/m (No. 11)
Unique sites:
Ba 0.222 0.250 0.422 x2
Ba 0.273 0.750 0.072 x2
Zn 0.315 0.750 0.726 x2
Ga 0.185 0.250 0.771 x2

=====

Below is NaNdHfTiO6 after structural relaxation, with properties calculated at the PBE level.

Computed properties:
Crystal system ... cubic
Density ... 6.4 Mg/m³
Final energy ... -8.382 eV/atom

Unit cell a=7.983 b=7.983 c=7.983 alpha=90.00 beta=90.00 gamma=90.00
Space group F-43m (No. 216)
Unique sites:
Na 0.000 0.000 0.000 x4
Nd 0.000 0.000 0.500 x4
Hf 0.250 0.250 0.750 x4
Ti 0.250 0.250 0.250 x4
O 0.006 0.250 0.250 x24

=====

Below is SnGe3Br after structural relaxation, with properties calculated at the PBE level.

Computed properties:
Offset from the most stable computed form ... 37 meV per atom
Crystal system ... cubic
Density ... 4.9 Mg/m³

Unit cell a=5.212 b=5.212 c=5.212 alpha=90.00 beta=90.00 gamma=90.00
Space group Pm-3m (No. 221)
Unique sites:
Sn 0.000 0.000 0.000 x1
Ge 0.000 0.500 0.500 x3
Br 0.500 0.500 0.500 x1

=====

Below is Y4RhBr5 after structural relaxation, with properties calculated at the PBE level.

Computed properties:
Crystal system ... monoclinic
Density ... 4.5 Mg/m³
Final energy ... -5.594 eV/atom

Unit cell a=18.898 b=3.972 c=8.545 alpha=90.00 beta=102.44 gamma=90.00
Space group C2/m (No. 12)
Unique sites:
Y 0.004 0.000 0.216 x4
Y 0.148 0.500 0.077 x4
Rh 0.000 0.500 0.000 x2
Br 0.000 0.500 0.500 x2
Br 0.170 0.000 0.332 x4
Br 0.180 0.000 0.844 x4

=====

Below is Tl2FeAs2 after structural relaxation, with properties calculated at the PBE level.

Computed properties:
Crystal system ... tetragonal
Density ... 9.2 Mg/m³
Final energy ... -4.374 eV/atom

Unit cell a=6.160 b=6.160 c=5.851 alpha=90.00 beta=90.00 gamma=90.00
Space group P4/mbm (No. 127)
Unique sites:
Tl 0.193 0.307 0.000 x4
Fe 0.000 0.000 0.500 x2
As 0.149 0.649 0.500 x4

=====

Below is Sr2Sn3BiIr4 after structural relaxation, with properties calculated at the PBE level.

Computed properties:
Crystal system ... tetragonal
Density ... 10.8 Mg/m³
Final energy ... -5.847 eV/atom

Unit cell a=4.606 b=4.606 c=10.958 alpha=90.00 beta=90.00 gamma=90.00
Space group P-4m2 (No. 115)
Unique sites:
Sr 0.000 0.500 0.241 x2
Sn 0.000 0.500 0.874 x2
Sn 0.500 0.500 0.500 x1
Bi 0.000 0.000 0.500 x1
Ir 0.000 0.000 0.000 x1
Ir 0.000 0.500 0.633 x2
Ir 0.500 0.500 0.000 x1

=====

Below is AsSeBr2F after structural relaxation, with properties calculated at the PBE level.

Computed properties:
Offset from the most stable computed form ... 153 meV per atom
Crystal system ... tetragonal
Density ... 4.5 Mg/m³

Unit cell a=5.641 b=5.641 c=3.860 alpha=90.00 beta=90.00 gamma=90.00
Space group P4/mmm (No. 123)
Unique sites:
As 0.000 0.000 0.000 x1
Se 0.500 0.500 0.000 x1
Br 0.000 0.500 0.500 x2
F 0.000 0.000 0.500 x1